# 1
{
  "formula": "Li2InP2O8",
  "functional": "GGA-PBEsol",
  "state": "relaxed",
  "space_group": "P2_1/c, No. 14",
  "raw_formation_energy_ev_per_atom": -2.0432,
  "rho_kg_m3": 3400,
  "cell": [[-2.778, -2.995, -2.794], [0.174, -4.190, 6.352], [-6.898, 3.851, 2.729]],
  "species": ["O", "O", "O", "O", "O", "O", "O", "O", "O", "O", "O", "O", "O", "O", "O", "O", "P", "P", "P", "P", "In", "In", "Li", "Li", "Li", "Li"],
  "frac_coords": [[0.976, 0.795, 0.824], [0.524, 0.705, 0.324], [0.146, 0.834, 0.184], [0.476, 0.295, 0.676], [0.646, 0.334, 0.316], [0.391, 0.149, 0.948], [0.193, 0.937, 0.568], [0.807, 0.063, 0.432], [0.024, 0.205, 0.176], [0.354, 0.666, 0.684], [0.693, 0.437, 0.932], [0.891, 0.649, 0.552], [0.854, 0.166, 0.816], [0.307, 0.563, 0.068], [0.609, 0.851, 0.052], [0.109, 0.351, 0.448], [0.601, 0.262, 0.839], [0.899, 0.238, 0.339], [0.399, 0.738, 0.161], [0.101, 0.762, 0.661], [0.500, 0.500, 0.500], [0.000, 0.000, 0.000], [0.599, 0.665, 0.874], [0.099, 0.165, 0.626], [0.401, 0.335, 0.126], [0.901, 0.835, 0.374]]
}


# 2
{
  "formula": "BaAgTe",
  "functional": "GGA-PBEsol",
  "state": "relaxed",
  "space_group": "F-43m, No. 216",
  "raw_formation_energy_ev_per_atom": -0.4817,
  "relative_energy_mev_per_atom": 313,
  "rho_kg_m3": 5543,
  "cell": [[-4.387, -1.134, 2.947], [0.375, -3.346, 4.229], [-0.454, 1.936, 5.026]],
  "species": ["Ba", "Ag", "Te"],
  "frac_coords": [[0.500, 0.500, 0.500], [0.000, 0.000, 0.000], [0.250, 0.250, 0.250]]
}